## LiPaMoO4 (PBE+U)

Data for LiPaMoO4 after structural relaxation.

a b c (Å): 6.4027 6.4835 6.4835
angles (deg): 66.47 60.41 60.41
Last column: magnetic moment on the atom in μB.
Element x y z (fractional)
O  0.7822  0.7465  0.2465  0.03
O  0.2516  0.2117  0.2852  0.04
O  0.7484  0.2148  0.2883  0.04
Mo  0.0000  0.0000  0.5000  2.30
Pa  0.0000  0.5000  0.5000  -0.50
O  0.2516  0.7852  0.7117  0.04
O  0.2178  0.2535  0.7535  0.03
O  0.7484  0.7883  0.7148  0.04
Pa  0.0000  0.0000  0.0000  -0.50
O  0.7753  0.2535  0.7535  0.03
Li  0.3829  0.3671  0.8671  0.00
Mo  0.5000  0.0000  0.5000  2.30
O  0.2247  0.7465  0.2465  0.03
Li  0.6171  0.6329  0.1329  0.00

Computed properties:
- Total DFT energy (no corrections): -7.89 eV per atom
- Symmetry: Imma (74)